This record from Alexandria describes an optimized crystal structure of KMgSe2. The functional is PBE-GGA.

V (Å³ per cell): 99.98
Uncorrected formation energy (eV/f.u.): -1.97
D(E_F) (states/eV/cell): 2.96

Unit cell a=6.3458 b=6.3458 c=6.3458 alpha=141.10 beta=141.10 gamma=56.19
With the nearest neighbours (Å) after each atom.
Element x y z (fractional)
K1 0.5000 0.5000 0.0000  4 Se 2.99
Mg1 0.7500 0.2500 0.5000  4 Se 2.99
Se1 0.0000 0.0000 0.0000  4 K 2.99
Se2 0.2500 0.7500 0.5000  4 Mg 2.99